This record from the Alexandria database describes MnBiPO5 at its PBEsol-relaxed geometry. The functional is meta-GGA SCAN.

Values from the calculation:
E_form (uncorrected): -2.0788 eV/atom

Cell lengths 5.3266, 11.3201, 7.6118 Å; angles 90.00, 112.42, 90.00 degrees
Space group P2_1/c (No. 14)
One atom of each set of equivalent atoms:
Mn 0.0563 0.0883 0.1854 x4
Bi 0.4333 0.0992 0.8128 x4
P 0.3141 0.6504 0.0223 x4
O 0.1828 0.7248 0.4926 x4
O 0.2253 0.5784 0.1628 x4
O 0.2309 0.5822 0.8322 x4
O 0.2610 0.0241 0.0146 x4
O 0.3743 0.1731 0.3958 x4

---

This record from the Alexandria database describes CoAsAu4 at its PBEsol-relaxed geometry. The functional is meta-GGA SCAN.

Values from the calculation:
Formation energy from the elements: 0.413 eV/atom

Cell lengths 7.5718, 7.5718, 7.5718 Å; angles 90.00, 90.00, 90.00 degrees
Space group F-43m (No. 216)
One atom of each set of equivalent atoms:
Co 0.0000 0.0000 0.0000 x4
As 0.2500 0.2500 0.2500 x4
Au 0.1253 0.1253 0.6253 x16

---

This record from the Alexandria database describes Sc2HgSe at its PBEsol-relaxed geometry. The functional is meta-GGA SCAN.

Values from the calculation:
E_form (uncorrected): -0.9389 eV/atom
Polymorph energy (0 for the lowest one): 236 meV/atom

Cell lengths 3.3479, 3.4364, 7.0685 Å; angles 90.00, 98.75, 90.00 degrees
Space group P2/m (No. 10)
One atom of each set of equivalent atoms:
Sc 0.0685 0.0000 0.2657 x2
Hg 0.5000 0.5000 0.0000 x1
Se 0.5000 0.5000 0.5000 x1

---

This record from the Alexandria database describes In4Cu at its PBEsol-relaxed geometry. The functional is meta-GGA SCAN.

Values from the calculation:
Polymorph energy (0 for the lowest one): 130 meV/atom
Formation energy from the elements: 0.192 eV/atom

Cell lengths 6.6058, 6.6058, 5.1213 Å; angles 90.00, 90.00, 90.00 degrees
Space group I4/m (No. 87)
One atom of each set of equivalent atoms:
In 0.1328 0.3047 0.0000 x8
Cu 0.0000 0.0000 0.5000 x2

---

This record from the Alexandria database describes AgPt2 at its PBEsol-relaxed geometry. The functional is meta-GGA SCAN.

Values from the calculation:
Polymorph energy (0 for the lowest one): 7 meV/atom
Formation energy from the elements: 0.005 eV/atom

Cell lengths 5.5460, 5.5460, 6.9127 Å; angles 90.00, 90.00, 120.00 degrees
Space group P3m1 (No. 156)
One atom of each set of equivalent atoms:
Ag 0.0000 0.0000 0.0000 x1
Ag 0.3349 0.1675 0.3383 x3
Pt 0.0026 0.5013 0.0050 x3
Pt 0.1690 0.3380 0.6657 x3
Pt 0.3333 0.6667 0.3277 x1
Pt 0.6667 0.3333 0.6868 x1

---

This record from the Alexandria database describes MnAs at its PBEsol-relaxed geometry. The functional is meta-GGA SCAN.

Values from the calculation:
Formation energy from the elements: -0.399 eV/atom

Cell lengths 5.4045, 3.3642, 5.9613 Å; angles 90.00, 90.00, 90.00 degrees
Space group Pnma (No. 62)
One atom of each set of equivalent atoms:
Mn 0.0045 0.2500 0.1922 x4
As 0.1948 0.2500 0.5798 x4

---

This record from the Alexandria database describes KLiCr2 at its PBEsol-relaxed geometry. The functional is meta-GGA SCAN.

Values from the calculation:
Formation energy from the elements: 0.846 eV/atom

Cell lengths 3.1405, 5.2035, 5.5571 Å; angles 90.00, 90.00, 90.00 degrees
Space group Pmmm (No. 47)
One atom of each set of equivalent atoms:
K 0.0000 0.0000 0.0000 x1
Li 0.5000 0.5000 0.0000 x1
Cr 0.0000 0.5000 0.5000 x1
Cr 0.5000 0.0000 0.5000 x1

---

This record from the Alexandria database describes KGaRu2C at its PBEsol-relaxed geometry. The functional is meta-GGA SCAN.

Values from the calculation:
Formation energy from the elements: 1.911 eV/atom

Cell lengths 4.7566, 4.7566, 3.9253 Å; angles 90.00, 90.00, 90.00 degrees
Space group P4/mmm (No. 123)
One atom of each set of equivalent atoms:
K 0.0000 0.0000 0.0000 x1
Ga 0.5000 0.5000 0.5000 x1
Ru 0.0000 0.5000 0.5000 x2
C 0.5000 0.5000 0.0000 x1

---

This record from the Alexandria database describes RbAg2IrAu at its PBEsol-relaxed geometry. The functional is meta-GGA SCAN.

Values from the calculation:
Formation energy from the elements: 2.279 eV/atom

Cell lengths 5.1442, 5.1442, 4.8467 Å; angles 90.00, 90.00, 90.00 degrees
Space group P4/mmm (No. 123)
One atom of each set of equivalent atoms:
Rb 0.0000 0.0000 0.0000 x1
Ag 0.0000 0.5000 0.0000 x2
Ir 0.0000 0.0000 0.5000 x1
Au 0.5000 0.5000 0.5000 x1

---

This record from the Alexandria database describes Mg2Hg2Pb at its PBEsol-relaxed geometry. The functional is meta-GGA SCAN.

Values from the calculation:
Formation energy from the elements: -0.223 eV/atom

Cell lengths 8.2109, 8.2109, 3.3830 Å; angles 90.00, 90.00, 90.00 degrees
Space group P4/mbm (No. 127)
One atom of each set of equivalent atoms:
Mg 0.1688 0.3312 0.0000 x4
Hg 0.1288 0.6288 0.5000 x4
Pb 0.0000 0.0000 0.5000 x2

---

This record from the Alexandria database describes LiB5H2O9 at its PBEsol-relaxed geometry. The functional is meta-GGA SCAN.

Cell lengths 5.4428, 9.0684, 13.6301 Å; angles 90.00, 91.46, 90.00 degrees
Space group P2_1/c (No. 14)
One atom of each set of equivalent atoms:
Li 0.0325 0.0904 0.1977 x4
B 0.0155 0.1689 0.3987 x4
B 0.2259 0.1375 0.9905 x4
B 0.2693 0.0368 0.6564 x4
B 0.3209 0.1746 0.8132 x4
B 0.3924 0.7008 0.8212 x4
H 0.1398 0.7433 0.9256 x4
H 0.3947 0.5058 0.5821 x4
O 0.0410 0.2426 0.9821 x4
O 0.1503 0.5582 0.0934 x4
O 0.1523 0.1964 0.3188 x4
O 0.1884 0.7326 0.3571 x4
O 0.1982 0.0598 0.7510 x4
O 0.2500 0.0656 0.0788 x4
O 0.3691 0.1094 0.9120 x4
O 0.4484 0.7226 0.7257 x4
O 0.4652 0.1114 0.6178 x4

---

This record from the Alexandria database describes BaTcTe at its PBEsol-relaxed geometry. The functional is meta-GGA SCAN.

Values from the calculation:
E_form (uncorrected): -0.1194 eV/atom

Cell lengths 4.4729, 4.4729, 4.9907 Å; angles 90.00, 90.00, 120.00 degrees
Space group P-6m2 (No. 187)
One atom of each set of equivalent atoms:
Ba 0.0000 0.0000 0.0000 x1
Tc 0.3333 0.6667 0.5000 x1
Te 0.6667 0.3333 0.5000 x1

---

| no. | total energy (eV per atom) |
| --- | --- |
| 1 | -19.378 |
| 2 | -51.941 |
| 3 | -30.118 |
| 4 | -29.557 |
| 5 | -57.246 |
| 6 | -19.622 |
| 7 | -11.026 |
| 8 | -18.974 |
| 9 | -42.467 |
| 10 | -44.635 |
| 11 | -8.389 |
| 12 | -37.407 |